Entry 1:
Entry from Alexandria: crystalline Tb6Pd5Rh at its relaxed geometry (PBE).

Cell lengths 7.060, 12.281, 7.044 Å; angles 90.00, 109.63, 90.00 degrees
Space group C2/m (No. 12)
Inequivalent atoms, fractional coordinates:
Tb 0.239 0.000 0.248 x4
Tb 0.242 0.162 0.741 x8
Pd 0.000 0.173 0.000 x4
Pd 0.000 0.336 0.500 x4
Pd 0.000 0.500 0.000 x2
Rh 0.000 0.000 0.500 x2

E_form	-723	meV per atom
E above lowest polymorph	147	meV/atom



Entry 2:
Entry from Alexandria: crystalline Ac3PmNi3 at its relaxed geometry (PBE).

Cell lengths 9.474, 10.997, 7.420 Å; angles 90.00, 90.33, 90.00 degrees
Space group C2/m (No. 12)
Inequivalent atoms, fractional coordinates:
Ac 0.000 0.178 0.000 x4
Ac 0.000 0.246 0.500 x4
Ac 0.169 0.500 0.859 x4
Pm 0.250 0.000 0.639 x4
Ni 0.053 0.000 0.330 x4
Ni 0.238 0.274 0.198 x8

E_form	-152	meV per atom



Entry 3:
Entry from Alexandria: crystalline PrTm4Pd5 at its relaxed geometry (PBE).

Cell lengths 3.462, 3.462, 17.851 Å; angles 90.00, 90.00, 90.00 degrees
Space group P4/mmm (No. 123)
Inequivalent atoms, fractional coordinates:
Pr 0.000 0.000 0.000 x1
Tm 0.000 0.000 0.207 x2
Tm 0.000 0.000 0.403 x2
Pd 0.500 0.500 0.117 x2
Pd 0.500 0.500 0.306 x2
Pd 0.500 0.500 0.500 x1

E_form	-891	meV per atom



Entry 4:
Entry from Alexandria: crystalline LiHoTh2Se4 at its relaxed geometry (PBE).

Cell lengths 6.833, 3.954, 7.549 Å; angles 90.00, 107.29, 90.00 degrees
Space group P2/m (No. 10)
Inequivalent atoms, fractional coordinates:
Li 0.000 0.000 0.000 x1
Ho 0.500 0.500 0.000 x1
Th 0.000 0.500 0.500 x1
Th 0.500 0.000 0.500 x1
Se 0.236 0.500 0.225 x2
Se 0.249 0.000 0.774 x2

E	-5.988	eV per atom



Entry 5:
Entry from Alexandria: crystalline Ho4ErZr at its relaxed geometry (PBE).

Cell lengths 16.805, 3.479, 6.069 Å; angles 90.00, 97.01, 90.00 degrees
Space group C2/m (No. 12)
Inequivalent atoms, fractional coordinates:
Ho 0.160 0.000 0.391 x4
Ho 0.165 0.500 0.883 x4
Er 0.000 0.000 0.000 x2
Zr 0.000 0.500 0.500 x2

E_form	46	meV per atom
E above lowest polymorph	0	meV/atom



Entry 6:
Entry from Alexandria: crystalline Y2InHg6 at its relaxed geometry (PBE).

Cell lengths 5.1455, 5.1455, 9.5653 Å; angles 90.00, 90.00, 120.00 degrees
Space group P-3m1 (No. 164)
Inequivalent atoms, fractional coordinates:
Y 0.3333 0.6667 0.2192 x2
In 0.0000 0.0000 0.0000 x1
Hg 0.0000 0.0000 0.3368 x2
Hg 0.3333 0.6667 0.5615 x2
Hg 0.3333 0.6667 0.8870 x2

E_form	-272	meV per atom



Entry 7:
Entry from Alexandria: crystalline NbVFe2 at its relaxed geometry (PBE).

Cell lengths 5.977, 5.977, 5.977 Å; angles 90.00, 90.00, 90.00 degrees
Space group Fm-3m (No. 225)
Inequivalent atoms, fractional coordinates:
Nb 0.000 0.000 0.000 x4
V 0.000 0.000 0.500 x4
Fe 0.250 0.250 0.250 x8

E_form	-47	meV per atom
E above lowest polymorph	53	meV/atom



Entry 8:
Entry from Alexandria: crystalline Th4Fe2Bi at its relaxed geometry (PBE).

Cell lengths 9.408, 9.408, 8.549 Å; angles 90.00, 90.00, 90.00 degrees
Space group I-42d (No. 122)
Inequivalent atoms, fractional coordinates:
Th 0.067 0.179 0.346 x16
Fe 0.101 0.250 0.625 x8
Bi 0.000 0.000 0.000 x4

E_form	-101	meV per atom
E above lowest polymorph	180	meV/atom



Entry 9:
Entry from Alexandria: crystalline AcPaInO6 at its relaxed geometry (PBE).

Cell lengths 5.8308, 5.8308, 4.8862 Å; angles 90.00, 90.00, 120.00 degrees
Space group P312 (No. 149)
Inequivalent atoms, fractional coordinates:
Ac 0.0000 0.0000 0.0000 x1
Pa 0.6667 0.3333 0.5000 x1
In 0.3333 0.6667 0.0000 x1
O 0.3732 0.0062 0.2493 x6

E	-7.693	eV per atom



Entry 10:
Entry from Alexandria: crystalline Nb2MoRu at its relaxed geometry (PBE).

Cell lengths 2.825, 4.859, 10.263 Å; angles 90.00, 90.00, 90.00 degrees
Space group Immm (No. 71)
Inequivalent atoms, fractional coordinates:
Nb 0.000 0.000 0.239 x4
Mo 0.000 0.000 0.500 x2
Ru 0.000 0.000 0.000 x2

E_form	598	meV per atom



Entry 11:
Entry from Alexandria: crystalline TlCrCo at its relaxed geometry (PBE).

Cell lengths 4.2209, 4.2209, 3.1194 Å; angles 90.00, 90.00, 120.00 degrees
Space group P3m1 (No. 156)
Inequivalent atoms, fractional coordinates:
Tl 0.0000 0.0000 0.0000 x1
Cr 0.3333 0.6667 0.5007 x1
Co 0.6667 0.3333 0.4990 x1

E_form	683	meV per atom



Entry 12:
Entry from Alexandria: crystalline Rb3Ac2CeTe6 at its relaxed geometry (PBE).

Cell lengths 8.360, 14.482, 9.010 Å; angles 90.00, 108.04, 90.00 degrees
Space group C2/m (No. 12)
Inequivalent atoms, fractional coordinates:
Rb 0.000 0.000 0.000 x2
Rb 0.000 0.331 0.000 x4
Ac 0.000 0.166 0.500 x4
Ce 0.000 0.500 0.500 x2
Te 0.232 0.338 0.709 x8
Te 0.246 0.000 0.710 x4

E	-4.428	eV per atom



Entry 13:
Entry from Alexandria: crystalline La2TbRh at its relaxed geometry (PBE).

Cell lengths 3.914, 11.963, 10.147 Å; angles 90.00, 90.00, 90.00 degrees
Space group Cmcm (No. 63)
Inequivalent atoms, fractional coordinates:
La 0.000 0.139 0.067 x8
Tb 0.000 0.412 0.250 x4
Rh 0.000 0.272 0.750 x4

E_form	-424	meV per atom
E above lowest polymorph	34	meV/atom



Entry 14:
Entry from Alexandria: crystalline InPt2Rh at its relaxed geometry (PBE).

Cell lengths 4.098, 4.098, 7.777 Å; angles 90.00, 90.00, 90.00 degrees
Space group I-4m2 (No. 119)
Inequivalent atoms, fractional coordinates:
In 0.000 0.000 0.000 x2
Pt 0.000 0.000 0.500 x2
Pt 0.000 0.500 0.750 x2
Rh 0.000 0.500 0.250 x2

E_form	-259	meV per atom



Entry 15:
Entry from Alexandria: crystalline Rb2ReRuI6 at its relaxed geometry (PBE).

Cell lengths 7.987, 7.987, 11.312 Å; angles 90.00, 90.00, 90.00 degrees
Space group I4/mmm (No. 139)
Inequivalent atoms, fractional coordinates:
Rb 0.000 0.500 0.250 x4
Re 0.000 0.000 0.000 x2
Ru 0.000 0.000 0.500 x2
I 0.000 0.000 0.249 x4
I 0.250 0.250 0.000 x8

E	-3.489	eV per atom



Entry 16:
Entry from Alexandria: crystalline Sr2LaBeI at its relaxed geometry (PBE).

Cell lengths 6.063, 6.063, 5.439 Å; angles 90.00, 90.00, 90.00 degrees
Space group P4/mmm (No. 123)
Inequivalent atoms, fractional coordinates:
Sr 0.000 0.500 0.000 x2
La 0.000 0.000 0.500 x1
Be 0.000 0.000 0.000 x1
I 0.500 0.500 0.500 x1

E	-2.742	eV per atom



Entry 17:
Entry from Alexandria: crystalline RbNbCo2 at its relaxed geometry (PBE).

Cell lengths 7.215, 7.215, 6.803 Å; angles 90.00, 90.00, 90.00 degrees
Space group I-42d (No. 122)
Inequivalent atoms, fractional coordinates:
Rb 0.000 0.000 0.000 x4
Nb 0.000 0.000 0.500 x4
Co 0.174 0.750 0.625 x8

E_form	1271	meV per atom
E above lowest polymorph	0	meV/atom



Entry 18:
Entry from Alexandria: crystalline SrRh7O12 at its relaxed geometry (PBE).

Cell lengths 7.673, 7.673, 7.673 Å; angles 90.00, 90.00, 90.00 degrees
Space group Im-3 (No. 204)
Inequivalent atoms, fractional coordinates:
Sr 0.000 0.000 0.000 x2
Rh 0.000 0.000 0.500 x6
Rh 0.250 0.250 0.250 x8
O 0.000 0.312 0.177 x24

E	-6.488	eV per atom



Entry 19:
Entry from Alexandria: crystalline Pr2Zn4Ge3Au at its relaxed geometry (PBE).

Cell lengths 4.288, 4.288, 10.758 Å; angles 90.00, 90.00, 90.00 degrees
Space group P-4m2 (No. 115)
Inequivalent atoms, fractional coordinates:
Pr 0.000 0.500 0.250 x2
Zn 0.000 0.000 0.000 x1
Zn 0.000 0.500 0.635 x2
Zn 0.500 0.500 0.000 x1
Ge 0.000 0.500 0.862 x2
Ge 0.500 0.500 0.500 x1
Au 0.000 0.000 0.500 x1

E_form	-472	meV per atom



Entry 20:
Entry from Alexandria: crystalline Ca2YHgIr at its relaxed geometry (PBE).

Cell lengths 5.511, 5.511, 5.317 Å; angles 90.00, 90.00, 90.00 degrees
Space group P4/mmm (No. 123)
Inequivalent atoms, fractional coordinates:
Ca 0.000 0.500 0.000 x2
Y 0.000 0.000 0.500 x1
Hg 0.500 0.500 0.500 x1
Ir 0.000 0.000 0.000 x1

E_form	-307	meV per atom



no.,total magnetic moment (μB/f.u.)
1,0.0
2,0.0
3,0.0
4,0.0
5,0.0
6,0.0
7,1.7
8,0.0
9,0.0
10,0.0
11,3.6
12,1.0
13,0.0
14,0.0
15,4.8
16,0.0
17,0.0
18,3.8
19,0.0
20,0.0